Record 1
Zr3Si2Ni: relaxed, GGA-PBE.

Properties
DFT total energy ... -7.843 eV per atom

abc: 3.871 10.395 10.692
angles: 90.00 90.00 90.00
Fractional coordinates of all 24 atoms:
1 Si 0.250 0.814 0.975
2 Si 0.750 0.186 0.025
3 Si 0.250 0.686 0.475
4 Si 0.750 0.493 0.192
5 Si 0.250 0.507 0.808
6 Si 0.750 0.007 0.692
7 Si 0.250 0.993 0.308
8 Si 0.750 0.314 0.525
9 Ni 0.250 0.364 0.637
10 Ni 0.750 0.864 0.863
11 Ni 0.750 0.636 0.363
12 Ni 0.250 0.136 0.137
13 Zr 0.750 0.879 0.453
14 Zr 0.750 0.568 0.622
15 Zr 0.250 0.692 0.206
16 Zr 0.750 0.621 0.953
17 Zr 0.750 0.308 0.794
18 Zr 0.250 0.379 0.047
19 Zr 0.250 0.432 0.378
20 Zr 0.250 0.121 0.547
21 Zr 0.250 0.068 0.878
22 Zr 0.750 0.192 0.294
23 Zr 0.750 0.932 0.122
24 Zr 0.250 0.808 0.706

Record 2
ZrSi3Ni5: relaxed, GGA-PBE.

Properties
DFT total energy ... -6.532 eV per atom

abc: 3.576 6.134 11.337
angles: 90.00 90.00 106.95
Fractional coordinates of all 18 atoms:
1 Si 0.876 0.752 0.250
2 Si 0.384 0.768 0.549
3 Si 0.616 0.232 0.049
4 Si 0.124 0.248 0.750
5 Si 0.384 0.768 0.951
6 Si 0.616 0.232 0.451
7 Ni 0.444 0.889 0.355
8 Ni 0.801 0.602 0.066
9 Ni 0.556 0.111 0.645
10 Ni 0.199 0.398 0.566
11 Ni 0.000 0.000 0.500
12 Ni 0.199 0.398 0.934
13 Ni 0.000 0.000 0.000
14 Ni 0.556 0.111 0.855
15 Ni 0.444 0.889 0.145
16 Ni 0.801 0.602 0.434
17 Zr 0.862 0.724 0.750
18 Zr 0.138 0.276 0.250

Record 3
ZrSiNi6: relaxed, GGA-PBE.

Properties
DFT total energy ... -6.488 eV per atom

abc: 6.305 6.305 10.329
angles: 90.00 90.00 110.43
Fractional coordinates of all 32 atoms:
1 Ni 0.886 0.643 0.616
2 Ni 0.114 0.357 0.616
3 Ni 0.114 0.357 0.884
4 Ni 0.643 0.886 0.616
5 Ni 0.357 0.114 0.884
6 Ni 0.500 0.500 0.250
7 Ni 0.366 0.112 0.368
8 Ni 0.366 0.112 0.132
9 Ni 0.357 0.114 0.616
10 Ni 0.634 0.888 0.368
11 Ni 0.643 0.886 0.884
12 Ni 0.000 0.000 0.250
13 Ni 0.888 0.634 0.132
14 Ni 0.752 0.248 0.012
15 Ni 0.000 0.000 0.750
16 Ni 0.886 0.643 0.884
17 Ni 0.248 0.752 0.488
18 Ni 0.112 0.366 0.368
19 Ni 0.500 0.500 0.750
20 Ni 0.112 0.366 0.132
21 Ni 0.634 0.888 0.132
22 Ni 0.888 0.634 0.368
23 Ni 0.248 0.752 0.012
24 Ni 0.752 0.248 0.488
25 Zr 0.741 0.259 0.750
26 Zr 0.500 0.500 0.004
27 Zr 0.500 0.500 0.496
28 Zr 0.259 0.741 0.750
29 Si 0.736 0.264 0.250
30 Si 0.000 0.000 0.007
31 Si 0.264 0.736 0.250
32 Si 0.000 0.000 0.493

Record 4
ZrSiNi2: relaxed, GGA-PBE.

Properties
DFT total energy ... -6.527 eV per atom

abc: 4.819 5.047 2.830
angles: 75.44 86.52 117.42
Fractional coordinates of all 4 atoms:
1 Ni 0.500 0.000 0.500
2 Ni 0.000 0.000 0.000
3 Si 0.000 0.500 0.500
4 Zr 0.500 0.500 0.000

Record 5
ZrSiNi2: relaxed, GGA-PBE.

Properties
DFT total energy ... -6.795 eV per atom

abc: 3.062 3.063 5.971
angles: 90.00 90.00 90.00
Fractional coordinates of all 4 atoms:
1 Ni 0.000 0.000 0.036
2 Ni 0.500 0.500 0.268
3 Zr 0.500 0.500 0.762
4 Si 0.000 0.000 0.434

Record 6
ZrSiNi2: relaxed, GGA-PBE.

Properties
DFT total energy ... -6.791 eV per atom

abc: 4.574 4.574 4.574
angles: 129.08 129.08 74.88
Fractional coordinates of all 4 atoms:
1 Zr 0.750 0.250 0.500
2 Ni 0.250 0.750 0.500
3 Ni 0.000 0.000 0.000
4 Si 0.500 0.500 0.000

Record 7
ZrSiNi2: relaxed, GGA-PBE.

Properties
DFT total energy ... -6.926 eV per atom

abc: 3.965 3.965 4.898
angles: 66.11 66.11 60.04
Fractional coordinates of all 4 atoms:
1 Si 0.444 0.444 0.667
2 Ni 0.028 0.028 0.918
3 Ni 0.789 0.789 0.632
4 Zr 0.239 0.239 0.283

Record 8
ZrSiNi: relaxed, GGA-PBE.

Properties
DFT total energy ... -7.443 eV per atom

abc: 3.966 6.653 6.932
angles: 90.00 90.00 90.00
Fractional coordinates of all 12 atoms:
1 Zr 0.000 0.000 0.447
2 Zr 0.500 0.000 0.016
3 Zr 0.500 0.500 0.947
4 Zr 0.000 0.500 0.516
5 Ni 0.500 0.701 0.312
6 Ni 0.000 0.201 0.812
7 Ni 0.500 0.299 0.312
8 Ni 0.000 0.799 0.812
9 Si 0.500 0.223 0.642
10 Si 0.500 0.777 0.642
11 Si 0.000 0.723 0.142
12 Si 0.000 0.277 0.142

Record 9
ZrSiNi2: relaxed, GGA-PBE.

Properties
DFT total energy ... -6.828 eV per atom

abc: 2.873 2.874 6.602
angles: 90.00 90.00 90.00
Fractional coordinates of all 4 atoms:
1 Ni 0.000 0.000 0.055
2 Ni 0.000 0.000 0.445
3 Si 0.500 0.500 0.250
4 Zr 0.500 0.500 0.750

Record 10
ZrSiNi: relaxed, GGA-PBE.

Properties
DFT total energy ... -7.413 eV per atom

abc: 4.013 4.013 3.308
angles: 90.00 90.00 120.00
Fractional coordinates of all 3 atoms:
1 Ni 0.000 0.000 0.000
2 Si 0.667 0.333 0.000
3 Zr 0.333 0.667 0.500

Record 11
SmNi11: relaxed, GGA-PBE.

Properties
ΔE_f ... -0.111 eV per atom
DFT total energy ... -5.804 eV per atom

abc: 6.279 7.600 7.600
angles: 80.17 65.60 65.60
Each line ends with the local moment (μB).
Fractional coordinates of all 24 atoms:
1 Ni 0.603 0.328 0.081  0.50
2 Ni 0.603 0.081 0.328  0.50
3 Ni 0.068 0.919 0.328  0.50
4 Ni 0.434 0.828 0.419  0.50
5 Ni 0.875 0.750 0.250  0.56
6 Ni 0.682 0.581 0.172  0.50
7 Ni 0.012 0.919 0.672  0.50
8 Ni 0.875 0.250 0.250  0.56
9 Ni 0.068 0.328 0.919  0.50
10 Ni 0.316 0.081 0.672  0.50
11 Ni 0.738 0.828 0.581  0.50
12 Ni 0.750 0.500 0.500  0.45
13 Ni 0.316 0.672 0.081  0.50
14 Ni 0.012 0.672 0.919  0.50
15 Ni 0.147 0.419 0.172  0.50
16 Ni 0.682 0.172 0.581  0.50
17 Ni 0.434 0.419 0.828  0.50
18 Ni 0.738 0.581 0.828  0.50
19 Ni 0.875 0.250 0.750  0.56
20 Ni 0.000 0.000 0.000  0.45
21 Ni 0.147 0.172 0.419  0.50
22 Ni 0.375 0.750 0.750  0.56
23 Sm 0.250 0.500 0.500  -0.07
24 Sm 0.500 0.000 0.000  -0.07

Record 12
SmNi4: relaxed, GGA-PBE.

Properties
ΔE_f ... 0.678 eV per atom
DFT total energy ... -4.891 eV per atom

abc: 5.690 5.690 5.690
angles: 93.44 93.44 151.62
Fractional coordinates of all 5 atoms:
1 Ni 0.000 0.326 0.326
2 Ni 0.000 0.674 0.674
3 Ni 0.326 0.000 0.326
4 Ni 0.674 0.000 0.674
5 Sm 0.000 0.000 0.000

- Look up the DFT total energy of the third one.
  -6.488 eV per atom

- Among the records above, which one has the lowest DFT total energy?
  Zr3Si2Ni

- Which value of DFT total energy does entry 1 give?
  -7.843 eV per atom

- Among the records above, which one has the highest DFT total energy?
  SmNi4